No. 1
Material: Co8Re5
Method: DFT, PBE
State: optimized geometry

Cell and atoms, written as CIF:
```
data_Co8Re5
_chemical_formula_sum 'Co24 Re15'
_cell_length_a 4.6295
_cell_length_b 4.6295
_cell_length_c 25.3901
_cell_angle_alpha 90.00
_cell_angle_beta 90.00
_cell_angle_gamma 120.00
_space_group_name_H-M_alt 'R -3 m'
_space_group_IT_number 166
_space_group_name_Hall '-R 3 2"'
loop_
_atom_site_label
_atom_site_fract_x
_atom_site_fract_y
_atom_site_fract_z
_atom_site_occupancy
Co1 0.0000 0.0000 0.0458 1
Co2 0.0054 0.5027 0.9134 1
Re1 0.0000 0.0000 0.1471 1
Re2 0.0000 0.0000 0.3377 1
Re3 0.0000 0.0000 0.5000 1
```

Calculated values
The calculated total energy is -118.21 eV/f.u. The calculation puts the polymorph energy (0 for the lowest one) at 0.000 eV/atom.

No. 2
Material: KNpSb
Method: DFT, PBE
State: optimized geometry

Cell and atoms, written as CIF:
```
data_KNpSb
_chemical_formula_sum 'K4 Np4 Sb4'
_cell_length_a 7.445
_cell_length_b 7.445
_cell_length_c 7.445
_cell_angle_alpha 90.00
_cell_angle_beta 90.00
_cell_angle_gamma 90.00
_space_group_name_H-M_alt 'F -4 3 m'
_space_group_IT_number 216
_space_group_name_Hall 'F -4 2 3'
loop_
_atom_site_label
_atom_site_fract_x
_atom_site_fract_y
_atom_site_fract_z
_atom_site_occupancy
K1 0.000 0.000 0.000 1
Np1 0.250 0.250 0.750 1
Sb1 0.250 0.250 0.250 1
```

Calculated values
The calculated total energy is -15.63 eV/f.u.

No. 3
Material: NpSnBi
Method: DFT, PBE
State: optimized geometry

Cell and atoms, written as CIF:
```
data_NpSnBi
_chemical_formula_sum 'Np4 Sn4 Bi4'
_cell_length_a 7.339
_cell_length_b 7.339
_cell_length_c 7.339
_cell_angle_alpha 90.00
_cell_angle_beta 90.00
_cell_angle_gamma 90.00
_space_group_name_H-M_alt 'F -4 3 m'
_space_group_IT_number 216
_space_group_name_Hall 'F -4 2 3'
loop_
_atom_site_label
_atom_site_fract_x
_atom_site_fract_y
_atom_site_fract_z
_atom_site_occupancy
Np1 0.000 0.000 0.000 1
Sn1 0.250 0.250 0.250 1
Bi1 0.250 0.250 0.750 1
```

Calculated values
The calculated total energy is -20.01 eV/f.u. The calculation puts the polymorph energy (0 for the lowest one) at 0.000 eV/atom.

No. 4
Material: Al2SbMo
Method: DFT, PBE
State: optimized geometry

Cell and atoms, written as CIF:
```
data_Al2SbMo
_chemical_formula_sum 'Al8 Sb4 Mo4'
_cell_length_a 6.585
_cell_length_b 6.585
_cell_length_c 6.585
_cell_angle_alpha 90.00
_cell_angle_beta 90.00
_cell_angle_gamma 90.00
_space_group_name_H-M_alt 'F -4 3 m'
_space_group_IT_number 216
_space_group_name_Hall 'F -4 2 3'
loop_
_atom_site_label
_atom_site_fract_x
_atom_site_fract_y
_atom_site_fract_z
_atom_site_occupancy
Al1 0.000 0.000 0.000 1
Al2 0.250 0.250 0.250 1
Sb1 0.000 0.000 0.500 1
Mo1 0.250 0.250 0.750 1
```

Calculated values
The calculated total energy is -20.84 eV/f.u.

No. 5
Material: PrGdMg4Pd2
Method: DFT, PBE
State: optimized geometry

Cell and atoms, written as CIF:
```
data_PrGdMg4Pd2
_chemical_formula_sum 'Pr2 Gd2 Mg8 Pd4'
_cell_length_a 7.241
_cell_length_b 5.119
_cell_length_c 14.970
_cell_angle_alpha 90.00
_cell_angle_beta 90.00
_cell_angle_gamma 90.00
_space_group_name_H-M_alt 'A m m 2'
_space_group_IT_number 38
loop_
_space_group_symop_operation_xyz
'x,y,z'
'-x,-y,z'
'-x,y,z'
'x,-y,z'
'x,y+1/2,z+1/2'
'-x,-y+1/2,z+1/2'
'-x,y+1/2,z+1/2'
'x,-y+1/2,z+1/2'
loop_
_atom_site_label
_atom_site_fract_x
_atom_site_fract_y
_atom_site_fract_z
_atom_site_occupancy
Pr1 0.000 0.000 0.000 1
Gd1 0.000 0.000 0.774 1
Mg1 0.291 0.000 0.300 1
Mg2 0.306 0.000 0.508 1
Pd1 0.000 0.000 0.193 1
Pd2 0.000 0.000 0.594 1
```

Calculated values
The calculated total energy is -24.34 eV/f.u.

No. 6
Material: Nd3Tl2CdAgIr2
Method: DFT, PBE
State: optimized geometry

Cell and atoms, written as CIF:
```
data_Nd3Tl2CdAgIr2
_chemical_formula_sum 'Nd6 Tl4 Cd2 Ag2 Ir4'
_cell_length_a 3.983
_cell_length_b 13.687
_cell_length_c 7.864
_cell_angle_alpha 90.00
_cell_angle_beta 90.00
_cell_angle_gamma 90.00
_space_group_name_H-M_alt 'A m m 2'
_space_group_IT_number 38
loop_
_space_group_symop_operation_xyz
'x,y,z'
'-x,-y,z'
'-x,y,z'
'x,-y,z'
'x,y+1/2,z+1/2'
'-x,-y+1/2,z+1/2'
'-x,y+1/2,z+1/2'
'x,-y+1/2,z+1/2'
loop_
_atom_site_label
_atom_site_fract_x
_atom_site_fract_y
_atom_site_fract_z
_atom_site_occupancy
Nd1 0.000 0.000 0.000 1
Nd2 0.000 0.207 0.376 1
Tl1 0.500 0.132 0.715 1
Cd1 0.500 0.000 0.319 1
Ag1 0.000 0.000 0.577 1
Ir1 0.500 0.166 0.086 1
```

Calculated values
The calculated total energy is -44.37 eV/f.u.